Record 1
Material: ErSnH
Method: DFT, PBE
State: relaxed

Cell lengths 3.933, 6.346, 6.298 Å; angles 73.09, 90.08, 128.32 degrees
Sites, in units of the cell vectors:
H (0.878, 0.127, 0.539)
H (0.122, 0.873, 0.461)
Sn (0.756, 0.506, 0.164)
Sn (0.244, 0.494, 0.836)
Er (0.324, 0.074, 0.700)
Er (0.676, 0.926, 0.300)

Values from the calculation:
SG   P-1 (2)
Energy relative to the lowest polymorph listed for this composition   0.073 eV/atom

---

Record 2
Material: PmPuFeRu
Method: DFT, PBE
State: relaxed

Cell lengths 4.846, 4.846, 4.846 Å; angles 60.00, 60.00, 60.00 degrees
Site moments in Bohr magnetons follow the coordinates.
Sites, in units of the cell vectors:
Ru (0.250, 0.250, 0.250)  -0.65
Pm (0.000, 0.000, 0.000)  0.14
Fe (0.750, 0.750, 0.750)  -2.40
Pu (0.500, 0.500, 0.500)  5.12

Values from the calculation:
SG   F-43m (216)
E_form   0.021 eV per atom

---

Record 3
Material: ScAs2Ir2
Method: DFT, PBE
State: relaxed

Cell lengths 4.517, 4.517, 5.500 Å; angles 65.76, 65.76, 90.00 degrees
Sites, in units of the cell vectors:
Sc (0.000, 0.000, 0.000)
As (0.750, 0.250, 0.500)
As (0.250, 0.750, 0.500)
Ir (0.356, 0.356, 0.288)
Ir (0.644, 0.644, 0.712)

Values from the calculation:
SG   I4/mmm (139)
E_form   -0.379 eV per atom

---

Record 4
Material: Li4CdPb2
Method: DFT, PBE
State: relaxed

Cell lengths 9.723, 5.763, 6.060 Å; angles 118.39, 90.00, 90.00 degrees
Sites, in units of the cell vectors:
Li (0.772, 0.663, 0.000)
Li (0.750, 0.531, 0.500)
Li (0.750, 0.031, 0.500)
Li (0.728, 0.163, 0.000)
Li (0.272, 0.837, 0.000)
Li (0.250, 0.969, 0.500)
Li (0.250, 0.469, 0.500)
Li (0.228, 0.337, 0.000)
Cd (0.000, 0.000, 0.000)
Cd (0.500, 0.500, 0.000)
Pb (0.000, 0.661, 0.322)
Pb (0.000, 0.339, 0.678)
Pb (0.500, 0.839, 0.678)
Pb (0.500, 0.161, 0.322)

Values from the calculation:
SG   Cmce (64)
E_form   -0.157 eV per atom
Energy relative to the lowest polymorph listed for this composition   0.070 eV/atom

---

Record 5
Material: Sc6Tl2Pd
Method: DFT, PBE
State: relaxed

Cell lengths 3.569, 8.184, 8.185 Å; angles 120.00, 90.00, 90.00 degrees
Site moments in Bohr magnetons follow the coordinates.
Sites, in units of the cell vectors:
Sc (0.500, 0.612, 0.000)  0.22
Sc (0.500, 0.388, 0.388)  0.22
Sc (0.500, 0.000, 0.612)  0.22
Sc (0.000, 0.252, 0.000)  0.19
Sc (0.000, 0.748, 0.748)  0.19
Sc (0.000, 0.000, 0.252)  0.19
Tl (0.000, 0.333, 0.667)  -0.01
Tl (0.000, 0.667, 0.333)  -0.01
Pd (0.500, 0.000, 0.000)  0.02

Values from the calculation:
SG   P-62m (189)
E_form   -0.371 eV per atom

---

Record 6
Material: TiHSeS
Method: DFT, PBE
State: relaxed

Cell lengths 3.212, 3.212, 7.140 Å; angles 91.18, 102.87, 117.32 degrees
Sites, in units of the cell vectors:
Ti (0.827, 0.275, 0.102)
H (0.502, 0.622, 0.123)
Se (0.350, 0.042, 0.392)
S (0.013, 0.865, 0.879)

Values from the calculation:
SG   Cm (8)

---

| no. | total energy (eV per atom) |
| --- | --- |
| 1 | -4.5181 |
| 2 | -9.1842 |
| 3 | -7.0492 |
| 4 | -2.4412 |
| 5 | -5.6946 |
| 6 | -5.4035 |